# 1
5
Lattice="-2.1521 2.1521 6.1846 2.1521 -2.1521 6.1846 2.1521 2.1521 -6.1846" Properties=species:S:1:pos:R:3 comment="Al2NiSn2 (GGA-PBE, relaxed)" total_energy_ev_per_cell=-18.098 polymorph_energy_ev_per_atom=0.535 formation_energy_ev_per_atom=0.6347 pbc="T T T"
Al 0.0000 0.0000 1.2119
Al 0.0000 0.0000 11.1572
Ni 0.0000 0.0000 6.1846
Sn 2.1521 0.0000 3.0923
Sn 0.0000 2.1521 3.0923



# 2
3
Lattice="0.0000 2.9744 2.9744 2.9744 0.0000 2.9744 2.9744 2.9744 0.0000" Properties=species:S:1:pos:R:3 comment="AlNiSn (GGA-PBE, relaxed)" total_energy_ev_per_cell=-14.551 formation_energy_ev_per_atom=-0.3414 pbc="T T T"
Al 0.0000 0.0000 0.0000
Ni 1.4872 1.4872 1.4872
Sn 2.9744 2.9744 2.9744



# 3
10
Lattice="6.8001 0.0000 0.0000 0.0000 6.8001 0.0000 0.0000 0.0000 4.5046" Properties=species:S:1:pos:R:3 comment="Al2NiSn2 (GGA-PBE, relaxed)" total_energy_ev_per_cell=-40.220 polymorph_energy_ev_per_atom=0.133 formation_energy_ev_per_atom=0.2325 pbc="T T T"
Al 1.0185 2.3815 0.0000
Al 2.3815 5.7815 0.0000
Al 4.4186 1.0185 0.0000
Al 5.7815 4.4186 0.0000
Ni 0.0000 0.0000 2.2523
Ni 3.4000 3.4000 2.2523
Sn 1.0912 4.4912 2.2523
Sn 2.3088 1.0912 2.2523
Sn 4.4912 5.7089 2.2523
Sn 5.7089 2.3088 2.2523



# 4
10
Lattice="6.4353 0.0000 0.0000 0.0000 6.4353 0.0000 0.0000 0.0000 4.8458" Properties=species:S:1:pos:R:3 comment="Al2NiSn2 (GGA-PBE, relaxed)" total_energy_ev_per_cell=-41.551 polymorph_energy_ev_per_atom=0.000 formation_energy_ev_per_atom=0.0993 pbc="T T T"
Al 0.9688 2.2489 0.0000
Al 2.2489 5.4665 0.0000
Al 4.1864 0.9688 0.0000
Al 5.4665 4.1864 0.0000
Ni 0.0000 0.0000 0.0000
Ni 3.2176 3.2176 0.0000
Sn 1.1211 4.3388 2.4229
Sn 2.0965 1.1211 2.4229
Sn 4.3388 5.3142 2.4229
Sn 5.3142 2.0965 2.4229



# 5
20
Lattice="3.6070 0.0000 0.0000 0.0000 3.6070 0.0000 0.0000 0.0000 17.9304" Properties=species:S:1:pos:R:3 comment="Al4Ni15Sn (GGA-PBE, relaxed)" total_energy_ev_per_cell=-113.169 formation_energy_ev_per_atom=-0.3738 pbc="T T T"
Al 0.0000 0.0000 1.7572
Al 0.0000 0.0000 5.2634
Al 0.0000 0.0000 12.6669
Al 0.0000 0.0000 16.1732
Ni 0.0000 1.8035 0.0000
Ni 0.0000 1.8035 3.5120
Ni 0.0000 1.8035 7.0188
Ni 0.0000 1.8035 10.9116
Ni 0.0000 1.8035 14.4183
Ni 1.8035 0.0000 0.0000
Ni 1.8035 0.0000 3.5120
Ni 1.8035 0.0000 7.0188
Ni 1.8035 0.0000 10.9116
Ni 1.8035 0.0000 14.4183
Ni 1.8035 1.8035 1.7588
Ni 1.8035 1.8035 5.2780
Ni 1.8035 1.8035 8.9652
Ni 1.8035 1.8035 12.6524
Ni 1.8035 1.8035 16.1716
Sn 0.0000 0.0000 8.9652



# 6
12
Lattice="3.6948 0.0000 0.0000 0.0000 3.6948 0.0000 0.0000 0.0000 10.9420" Properties=species:S:1:pos:R:3 comment="AlNi9Sn2 (GGA-PBE, relaxed)" total_energy_ev_per_cell=-66.875 formation_energy_ev_per_atom=-0.2579 pbc="T T T"
Al 0.0000 0.0000 0.0000
Ni 0.0000 1.8474 1.6930
Ni 0.0000 1.8474 5.4710
Ni 0.0000 1.8474 9.2490
Ni 1.8474 0.0000 1.6930
Ni 1.8474 0.0000 5.4710
Ni 1.8474 0.0000 9.2490
Ni 1.8474 1.8474 0.0000
Ni 1.8474 1.8474 3.5997
Ni 1.8474 1.8474 7.3422
Sn 0.0000 0.0000 3.5779
Sn 0.0000 0.0000 7.3641



# 7
20
Lattice="3.7153 0.0000 0.0000 0.0000 3.7153 0.0000 0.0000 0.0000 18.3500" Properties=species:S:1:pos:R:3 comment="AlNi15Sn4 (GGA-PBE, relaxed)" total_energy_ev_per_cell=-111.044 formation_energy_ev_per_atom=-0.2285 pbc="T T T"
Al 0.0000 0.0000 0.0000
Ni 0.0000 1.8577 1.6771
Ni 0.0000 1.8577 5.4301
Ni 0.0000 1.8577 9.1750
Ni 0.0000 1.8577 12.9199
Ni 0.0000 1.8577 16.6729
Ni 1.8577 0.0000 1.6771
Ni 1.8577 0.0000 5.4301
Ni 1.8577 0.0000 9.1750
Ni 1.8577 0.0000 12.9199
Ni 1.8577 0.0000 16.6729
Ni 1.8577 1.8577 0.0000
Ni 1.8577 1.8577 3.5728
Ni 1.8577 1.8577 7.3041
Ni 1.8577 1.8577 11.0459
Ni 1.8577 1.8577 14.7772
Sn 0.0000 0.0000 3.5467
Sn 0.0000 0.0000 7.3004
Sn 0.0000 0.0000 11.0496
Sn 0.0000 0.0000 14.8033



# 8
12
Lattice="3.6351 0.0000 0.0000 0.0000 3.6351 0.0000 0.0000 0.0000 10.7965" Properties=species:S:1:pos:R:3 comment="Al2Ni9Sn (GGA-PBE, relaxed)" total_energy_ev_per_cell=-67.601 formation_energy_ev_per_atom=-0.3401 pbc="T T T"
Al 0.0000 0.0000 1.7305
Al 0.0000 0.0000 9.0660
Ni 0.0000 1.8176 0.0000
Ni 0.0000 1.8176 3.4666
Ni 0.0000 1.8176 7.3300
Ni 1.8176 0.0000 0.0000
Ni 1.8176 0.0000 3.4666
Ni 1.8176 0.0000 7.3300
Ni 1.8176 1.8176 1.7388
Ni 1.8176 1.8176 5.3983
Ni 1.8176 1.8176 9.0578
Sn 0.0000 0.0000 5.3983



# 9
5
Lattice="4.9923 0.0000 0.0000 0.0000 4.9923 0.0000 0.0000 0.0000 4.9923" Properties=species:S:1:pos:R:3 comment="AlNiSn3 (GGA-PBE, relaxed)" total_energy_ev_per_cell=-20.417 polymorph_energy_ev_per_atom=0.000 formation_energy_ev_per_atom=0.2230 pbc="T T T"
Al 0.0000 0.0000 0.0000
Ni 2.4962 2.4962 2.4962
Sn 0.0000 2.4962 2.4962
Sn 2.4962 0.0000 2.4962
Sn 2.4962 2.4962 0.0000



# 10
16
Lattice="3.6181 0.0000 0.0000 0.0000 3.6181 0.0000 0.0000 0.0000 14.3612" Properties=species:S:1:pos:R:3 comment="Al3Ni12Sn (GGA-PBE, relaxed)" total_energy_ev_per_cell=-90.380 formation_energy_ev_per_atom=-0.3608 pbc="T T T"
Al 0.0000 0.0000 0.0000
Al 0.0000 0.0000 3.4914
Al 0.0000 0.0000 10.8699
Ni 0.0000 1.8090 1.7457
Ni 0.0000 1.8090 5.2405
Ni 0.0000 1.8090 9.1207
Ni 0.0000 1.8090 12.6156
Ni 1.8090 0.0000 1.7457
Ni 1.8090 0.0000 5.2405
Ni 1.8090 0.0000 9.1207
Ni 1.8090 0.0000 12.6156
Ni 1.8090 1.8090 0.0000
Ni 1.8090 1.8090 3.5029
Ni 1.8090 1.8090 7.1806
Ni 1.8090 1.8090 10.8583
Sn 0.0000 0.0000 7.1806



# 11
12
Lattice="-1.7045 1.7045 14.9044 1.7045 -1.7045 14.9044 1.7045 1.7045 -14.9044" Properties=species:S:1:pos:R:3 comment="Ti2AlNi7Sn2 (GGA-PBE, relaxed)" total_energy_ev_per_cell=-69.923 formation_energy_ev_per_atom=-0.1596 pbc="T T T"
Ti 0.0000 0.0000 3.7057
Ti 0.0000 0.0000 26.1030
Al 0.0000 0.0000 14.9044
Ni 0.0000 0.0000 0.0000
Ni 1.7045 0.0000 1.9181
Ni 0.0000 0.0000 6.7488
Ni 1.7045 0.0000 12.9863
Ni 0.0000 1.7045 1.9181
Ni 0.0000 0.0000 23.0600
Ni 0.0000 1.7045 12.9863
Sn 0.0000 0.0000 9.3375
Sn 0.0000 0.0000 20.4712



# 12
5
Lattice="5.0684 0.0000 0.0000 0.0000 5.0684 0.0000 0.0000 0.0000 5.4460" Properties=species:S:1:pos:R:3 comment="YAlNiSn2 (GGA-PBE, relaxed)" total_energy_ev_per_cell=-20.512 formation_energy_ev_per_atom=0.6963 pbc="T T T"
Y 0.0000 0.0000 0.0000
Al 0.0000 0.0000 2.7230
Ni 2.5342 2.5342 0.0000
Sn 0.0000 2.5342 2.7230
Sn 2.5342 0.0000 2.7230



# 13
7
Lattice="-3.3357 3.3357 2.5977 3.3357 -3.3357 2.5977 3.3357 3.3357 -2.5977" Properties=species:S:1:pos:R:3 comment="SrAl4Ni2 (GGA-PBE, relaxed)" total_energy_ev_per_cell=-29.503 formation_energy_ev_per_atom=-0.1840 pbc="T T T"
Sr 0.0000 0.0000 0.0000
Al 2.0173 2.0173 0.0000
Al 1.3185 -1.3185 2.5977
Al -1.3185 1.3185 2.5977
Al 1.3185 1.3185 2.5977
Ni 3.3357 0.0000 1.2988
Ni 0.0000 3.3357 1.2988



# 14
12
Lattice="8.6454 0.0000 0.0000 -4.3227 7.4871 0.0000 0.0000 0.0000 2.6326" Properties=species:S:1:pos:R:3 comment="Sr2AlNi9 (GGA-PBE, relaxed)" total_energy_ev_per_cell=-54.345 formation_energy_ev_per_atom=0.3994 pbc="T T T"
Sr 0.0000 4.9914 0.0000
Sr 4.3227 2.4957 0.0000
Al 0.0000 0.0000 0.0000
Ni -2.1613 3.7436 0.0000
Ni 0.0000 2.3316 1.3163
Ni -2.3035 6.3213 1.3163
Ni 2.0192 1.1658 1.3163
Ni 4.3227 0.0000 0.0000
Ni 2.1613 3.7436 0.0000
Ni 2.3035 6.3213 1.3163
Ni 6.6262 1.1658 1.3163
Ni 4.3227 5.1556 1.3163



# 15
6
Lattice="4.9768 0.0000 0.0000 0.0000 4.5215 0.0000 -1.0703 0.0000 5.7668" Properties=species:S:1:pos:R:3 comment="SrAlNi (GGA-PBE, relaxed)" total_energy_ev_per_cell=-23.995 formation_energy_ev_per_atom=-0.2639 pbc="T T T"
Sr 0.6961 1.1304 2.2977
Sr 3.2104 3.3912 3.4690
Al 1.7107 3.3912 0.0017
Al 2.1958 1.1304 5.7651
Ni -0.3383 1.1304 5.2307
Ni 4.2448 3.3912 0.5361



# 16
20
Lattice="8.3266 0.0000 0.0000 0.0000 4.1390 0.0000 0.0000 0.0000 11.2148" Properties=species:S:1:pos:R:3 comment="SrAl3Ni (GGA-PBE, relaxed)" total_energy_ev_per_cell=-82.595 formation_energy_ev_per_atom=-0.3916 pbc="T T T"
Sr 1.4854 1.0348 0.0791
Sr 2.6779 3.1043 5.6865
Sr 5.6487 1.0348 5.5283
Sr 6.8412 3.1043 11.1357
Al 0.4251 1.0348 6.5190
Al 0.9923 3.1043 8.6364
Al 1.1935 3.1043 2.5823
Al 2.9698 1.0348 8.1897
Al 3.1711 1.0348 3.0290
Al 3.7382 3.1043 0.9116
Al 4.5884 1.0348 10.3033
Al 5.1556 3.1043 8.1858
Al 5.3569 3.1043 3.0251
Al 7.1331 1.0348 8.6325
Al 7.3344 1.0348 2.5784
Al 7.9015 3.1043 4.6959
Ni 0.9078 1.0348 4.0089
Ni 3.2555 3.1043 9.6163
Ni 5.0711 1.0348 1.5985
Ni 7.4188 3.1043 7.2059



# 17
3
Lattice="0.0000 3.4882 3.4882 3.4882 0.0000 3.4882 3.4882 3.4882 0.0000" Properties=species:S:1:pos:R:3 comment="SrAlNi (GGA-PBE, relaxed)" total_energy_ev_per_cell=-8.652 formation_energy_ev_per_atom=0.8514 pbc="T T T"
Sr 0.0000 0.0000 0.0000
Al 1.7441 1.7441 1.7441
Ni 5.2323 5.2323 5.2323



# 18
6
Lattice="0.0000 3.8888 3.8888 3.8888 0.0000 3.8888 3.8888 3.8888 0.0000" Properties=species:S:1:pos:R:3 comment="SrAl4Ni (GGA-PBE, relaxed)" total_energy_ev_per_cell=-21.785 formation_energy_ev_per_atom=0.1080 pbc="T T T"
Sr 0.0000 0.0000 0.0000
Al 4.8619 2.9157 2.9157
Al 2.9157 4.8619 2.9157
Al 2.9157 2.9157 4.8619
Al 4.8619 4.8619 4.8619
Ni 1.9444 1.9444 1.9444



# 19
19
Lattice="5.5163 3.1848 2.8144 -5.5163 3.1848 2.8144 0.0000 -6.3697 2.8144" Properties=species:S:1:pos:R:3 comment="SrAl12Ni6 (GGA-PBE, relaxed)" total_energy_ev_per_cell=-89.896 formation_energy_ev_per_atom=-0.4534 pbc="T T T"
Sr 0.0000 0.0000 0.0000
Al -2.0958 -3.6300 4.2216
Al -4.1916 0.0000 4.2216
Al -1.4500 -0.8372 2.8248
Al 1.4500 -0.8372 2.8248
Al 0.0000 1.6743 2.8248
Al 2.0958 -3.6300 4.2216
Al -2.0958 3.6300 4.2216
Al 0.0000 -1.6743 5.6183
Al -1.4500 0.8372 5.6183
Al 1.4500 0.8372 5.6184
Al 4.1916 0.0000 4.2216
Al 2.0958 3.6300 4.2216
Ni 0.0000 -2.7070 3.4683
Ni -2.3444 1.3535 3.4683
Ni -2.3444 -1.3535 4.9748
Ni 2.3444 1.3535 3.4684
Ni 2.3444 -1.3535 4.9748
Ni 0.0000 2.7071 4.9748



# 20
5
Lattice="5.6686 0.0000 0.0000 0.0000 5.6686 0.0000 0.0000 0.0000 5.6686" Properties=species:S:1:pos:R:3 comment="Sr3AlNi (GGA-PBE, relaxed)" total_energy_ev_per_cell=-13.896 polymorph_energy_ev_per_atom=0.000 formation_energy_ev_per_atom=0.1347 pbc="T T T"
Sr 0.0000 0.0000 2.8343
Sr 0.0000 2.8343 0.0000
Sr 2.8343 0.0000 0.0000
Al 2.8343 2.8343 2.8343
Ni 0.0000 0.0000 0.0000



# 21
12
Lattice="6.2133 0.0000 0.0000 1.6136 6.5598 0.0000 1.2923 3.0608 5.9700" Properties=species:S:1:pos:R:3 comment="SrAl4Ni (GGA-PBE, relaxed)" total_energy_ev_per_cell=-47.751 formation_energy_ev_per_atom=-0.2403 pbc="T T T"
Sr 1.7876 1.2752 0.4590
Sr 7.3316 8.3454 5.5110
Al 2.3322 5.7127 3.4071
Al 2.9466 4.4427 1.1141
Al 2.9085 2.8817 3.3361
Al 4.2228 7.1146 4.4556
Al 4.8963 2.5061 1.5144
Al 6.2107 6.7389 2.6339
Al 6.1726 5.1780 4.8559
Al 6.7869 3.9079 2.5629
Ni 0.6461 1.5304 2.9850
Ni 4.5596 4.8103 2.9850



# 22
5
Lattice="4.6604 0.0000 0.0000 0.0000 4.6604 0.0000 0.0000 0.0000 4.6604" Properties=species:S:1:pos:R:3 comment="SrAl3Ni (GGA-PBE, relaxed)" total_energy_ev_per_cell=-19.949 formation_energy_ev_per_atom=-0.2516 pbc="T T T"
Sr 0.0000 0.0000 0.0000
Al 0.0000 2.3302 2.3302
Al 2.3302 0.0000 2.3302
Al 2.3302 2.3302 0.0000
Ni 2.3302 2.3302 2.3302